Record 1
Density functional theory data (PBE) for Pr4C2Se after structural relaxation.

The structure in CIF format:
```
data_Pr4C2Se
_chemical_formula_sum 'Pr4 C2 Se1'
_cell_length_a 13.953
_cell_length_b 13.953
_cell_length_c 13.953
_cell_angle_alpha 15.99
_cell_angle_beta 15.99
_cell_angle_gamma 15.99
_space_group_name_H-M_alt 'P 1'
_space_group_IT_number 1
loop_
_space_group_symop_operation_xyz
'x,y,z'
loop_
_atom_site_label
_atom_site_type_symbol
_atom_site_fract_x
_atom_site_fract_y
_atom_site_fract_z
Pr1 Pr 0.117 0.117 0.117
Pr2 Pr 0.285 0.285 0.285
Pr3 Pr 0.715 0.715 0.715
Pr4 Pr 0.883 0.883 0.883
C1 C 0.420 0.420 0.420
C2 C 0.580 0.580 0.580
Se1 Se 0.000 0.000 0.000
```

Output
Magnetization   0.000 μB per atom
Uncorrected energy   -45.07 eV/cell
Volume   179.6 Å³/cell
Raw formation energy   -574 meV/atom



Record 2
Density functional theory data (PBE) for Pr2C2Se after structural relaxation.

The structure in CIF format:
```
data_Pr2C2Se
_chemical_formula_sum 'Pr4 C4 Se2'
_cell_length_a 7.432
_cell_length_b 7.432
_cell_length_c 7.182
_cell_angle_alpha 102.01
_cell_angle_beta 102.01
_cell_angle_gamma 33.08
_space_group_name_H-M_alt 'P 1'
_space_group_IT_number 1
loop_
_space_group_symop_operation_xyz
'x,y,z'
loop_
_atom_site_label
_atom_site_type_symbol
_atom_site_fract_x
_atom_site_fract_y
_atom_site_fract_z
Pr1 Pr 0.053 0.665 0.859
Pr2 Pr 0.335 0.947 0.641
Pr3 Pr 0.665 0.053 0.359
Pr4 Pr 0.947 0.335 0.141
C1 C 0.139 0.406 0.468
C2 C 0.406 0.139 0.968
C3 C 0.594 0.861 0.032
C4 C 0.861 0.594 0.532
Se1 Se 0.294 0.706 0.250
Se2 Se 0.706 0.294 0.750
```

Output
Magnetization   0.000 μB per atom
Uncorrected energy   -71.44 eV/cell
Volume   211.4 Å³/cell
Raw formation energy   -846 meV/atom



Record 3
Density functional theory data (PBE) for Pr3CSe2 after structural relaxation.

The structure in CIF format:
```
data_Pr3CSe2
_chemical_formula_sum 'Pr12 C4 Se8'
_cell_length_a 13.548
_cell_length_b 12.914
_cell_length_c 7.192
_cell_angle_alpha 79.16
_cell_angle_beta 69.42
_cell_angle_gamma 31.42
_space_group_name_H-M_alt 'P 1'
_space_group_IT_number 1
loop_
_space_group_symop_operation_xyz
'x,y,z'
loop_
_atom_site_label
_atom_site_type_symbol
_atom_site_fract_x
_atom_site_fract_y
_atom_site_fract_z
Pr1 Pr 0.035 0.534 0.182
Pr2 Pr 0.088 0.662 0.662
Pr3 Pr 0.182 0.748 0.035
Pr4 Pr 0.252 0.818 0.466
Pr5 Pr 0.338 0.912 0.912
Pr6 Pr 0.466 0.965 0.252
Pr7 Pr 0.534 0.035 0.748
Pr8 Pr 0.662 0.088 0.088
Pr9 Pr 0.748 0.182 0.534
Pr10 Pr 0.818 0.252 0.965
Pr11 Pr 0.912 0.338 0.338
Pr12 Pr 0.965 0.466 0.818
C1 C 0.041 0.041 0.209
C2 C 0.209 0.209 0.041
C3 C 0.791 0.791 0.959
C4 C 0.959 0.959 0.791
Se1 Se 0.128 0.128 0.622
Se2 Se 0.296 0.296 0.454
Se3 Se 0.378 0.378 0.872
Se4 Se 0.454 0.454 0.296
Se5 Se 0.546 0.546 0.704
Se6 Se 0.622 0.622 0.128
Se7 Se 0.704 0.704 0.546
Se8 Se 0.872 0.872 0.378
```

Output
Magnetization   0.000 μB per atom
Offset from the most stable computed form   0.00 eV/f.u.
Uncorrected energy   -153.34 eV/cell
Volume   597.8 Å³/cell
Raw formation energy   -1301 meV/atom



Record 4
Density functional theory data (PBE) for Pr2CSe after structural relaxation.

The structure in CIF format:
```
data_Pr2CSe
_chemical_formula_sum 'Pr2 C1 Se1'
_cell_length_a 7.446
_cell_length_b 7.446
_cell_length_c 7.446
_cell_angle_alpha 30.58
_cell_angle_beta 30.58
_cell_angle_gamma 30.58
_space_group_name_H-M_alt 'P 1'
_space_group_IT_number 1
loop_
_space_group_symop_operation_xyz
'x,y,z'
loop_
_atom_site_label
_atom_site_type_symbol
_atom_site_fract_x
_atom_site_fract_y
_atom_site_fract_z
Pr1 Pr 0.000 0.000 0.000
Pr2 Pr 0.197 0.197 0.197
C1 C 0.598 0.598 0.598
Se1 Se 0.766 0.766 0.766
```

Output
Magnetization   0.000 μB per atom
Uncorrected energy   -25.94 eV/cell
Volume   94.7 Å³/cell
Raw formation energy   -918 meV/atom



Record 5
Density functional theory data (PBE) for Pr8CSe6 after structural relaxation.

The structure in CIF format:
```
data_Pr8CSe6
_chemical_formula_sum 'Pr8 C1 Se6'
_cell_length_a 8.821
_cell_length_b 8.821
_cell_length_c 6.080
_cell_angle_alpha 90.00
_cell_angle_beta 90.00
_cell_angle_gamma 120.00
_space_group_name_H-M_alt 'P 1'
_space_group_IT_number 1
loop_
_space_group_symop_operation_xyz
'x,y,z'
loop_
_atom_site_label
_atom_site_type_symbol
_atom_site_fract_x
_atom_site_fract_y
_atom_site_fract_z
Pr1 Pr 0.000 0.246 0.245
Pr2 Pr 0.000 0.754 0.755
Pr3 Pr 0.246 0.000 0.245
Pr4 Pr 0.246 0.246 0.755
Pr5 Pr 0.333 0.667 0.000
Pr6 Pr 0.667 0.333 0.000
Pr7 Pr 0.754 0.000 0.755
Pr8 Pr 0.754 0.754 0.245
C1 C 0.000 0.000 0.000
Se1 Se 0.000 0.389 0.756
Se2 Se 0.000 0.611 0.244
Se3 Se 0.389 0.000 0.756
Se4 Se 0.389 0.389 0.244
Se5 Se 0.611 0.000 0.244
Se6 Se 0.611 0.611 0.756
```

Output
Magnetization   0.000 μB per atom
Uncorrected energy   -88.64 eV/cell
Volume   409.7 Å³/cell
Raw formation energy   -1351 meV/atom



Record 6
Density functional theory data (PBE) for Pr5C2Se2 after structural relaxation.

The structure in CIF format:
```
data_Pr5C2Se2
_chemical_formula_sum 'Pr10 C4 Se4'
_cell_length_a 8.359
_cell_length_b 8.359
_cell_length_c 7.564
_cell_angle_alpha 90.00
_cell_angle_beta 90.00
_cell_angle_gamma 53.94
_space_group_name_H-M_alt 'P 1'
_space_group_IT_number 1
loop_
_space_group_symop_operation_xyz
'x,y,z'
loop_
_atom_site_label
_atom_site_type_symbol
_atom_site_fract_x
_atom_site_fract_y
_atom_site_fract_z
Pr1 Pr 0.000 0.000 0.000
Pr2 Pr 0.039 0.724 0.654
Pr3 Pr 0.224 0.539 0.154
Pr4 Pr 0.276 0.961 0.654
Pr5 Pr 0.461 0.776 0.154
Pr6 Pr 0.500 0.500 0.500
Pr7 Pr 0.539 0.224 0.846
Pr8 Pr 0.724 0.039 0.346
Pr9 Pr 0.776 0.461 0.846
Pr10 Pr 0.961 0.276 0.346
C1 C 0.173 0.827 0.335
C2 C 0.327 0.673 0.835
C3 C 0.673 0.327 0.165
C4 C 0.827 0.173 0.665
Se1 Se 0.202 0.202 0.000
Se2 Se 0.298 0.298 0.500
Se3 Se 0.702 0.702 0.500
Se4 Se 0.798 0.798 0.000
```

Output
Magnetization   0.000 μB per atom
Uncorrected energy   -109.80 eV/cell
Volume   427.3 Å³/cell
Raw formation energy   -621 meV/atom



Record 7
Density functional theory data (PBE) for Pr2CSe after structural relaxation.

The structure in CIF format:
```
data_Pr2CSe
_chemical_formula_sum 'Pr2 C1 Se1'
_cell_length_a 7.289
_cell_length_b 7.289
_cell_length_c 7.289
_cell_angle_alpha 31.62
_cell_angle_beta 31.62
_cell_angle_gamma 31.62
_space_group_name_H-M_alt 'P 1'
_space_group_IT_number 1
loop_
_space_group_symop_operation_xyz
'x,y,z'
loop_
_atom_site_label
_atom_site_type_symbol
_atom_site_fract_x
_atom_site_fract_y
_atom_site_fract_z
Pr1 Pr 0.236 0.236 0.236
Pr2 Pr 0.764 0.764 0.764
C1 C 0.500 0.500 0.500
Se1 Se 0.000 0.000 0.000
```

Output
Magnetization   0.000 μB per atom
Uncorrected energy   -26.13 eV/cell
Volume   94.5 Å³/cell
Raw formation energy   -966 meV/atom



Record 8
Density functional theory data (PBE) for Pr4CSe3 after structural relaxation.

The structure in CIF format:
```
data_Pr4CSe3
_chemical_formula_sum 'Pr8 C2 Se6'
_cell_length_a 9.347
_cell_length_b 8.878
_cell_length_c 5.946
_cell_angle_alpha 90.00
_cell_angle_beta 90.00
_cell_angle_gamma 90.00
_space_group_name_H-M_alt 'P 1'
_space_group_IT_number 1
loop_
_space_group_symop_operation_xyz
'x,y,z'
loop_
_atom_site_label
_atom_site_type_symbol
_atom_site_fract_x
_atom_site_fract_y
_atom_site_fract_z
Pr1 Pr 0.000 0.093 0.000
Pr2 Pr 0.000 0.820 0.521
Pr3 Pr 0.225 0.683 0.004
Pr4 Pr 0.275 0.317 0.504
Pr5 Pr 0.500 0.180 0.021
Pr6 Pr 0.500 0.907 0.500
Pr7 Pr 0.725 0.317 0.504
Pr8 Pr 0.775 0.683 0.004
C1 C 0.000 0.817 0.953
C2 C 0.500 0.183 0.453
Se1 Se 0.000 0.143 0.505
Se2 Se 0.228 0.343 0.008
Se3 Se 0.272 0.657 0.508
Se4 Se 0.500 0.857 0.005
Se5 Se 0.728 0.657 0.508
Se6 Se 0.772 0.343 0.008
```

Output
Magnetization   0.000 μB per atom
Offset from the most stable computed form   1.75 eV/f.u.
Uncorrected energy   -97.24 eV/cell
Volume   493.4 Å³/cell
Raw formation energy   -1228 meV/atom



Record 9
Density functional theory data (PBE) for Pr5CSe4 after structural relaxation.

The structure in CIF format:
```
data_Pr5CSe4
_chemical_formula_sum 'Pr5 C1 Se4'
_cell_length_a 7.273
_cell_length_b 7.273
_cell_length_c 7.273
_cell_angle_alpha 99.58
_cell_angle_beta 99.58
_cell_angle_gamma 131.84
_space_group_name_H-M_alt 'P 1'
_space_group_IT_number 1
loop_
_space_group_symop_operation_xyz
'x,y,z'
loop_
_atom_site_label
_atom_site_type_symbol
_atom_site_fract_x
_atom_site_fract_y
_atom_site_fract_z
Pr1 Pr 0.000 0.000 0.000
Pr2 Pr 0.235 0.409 0.645
Pr3 Pr 0.409 0.765 0.174
Pr4 Pr 0.591 0.235 0.826
Pr5 Pr 0.765 0.591 0.355
C1 C 0.500 0.500 0.000
Se1 Se 0.093 0.695 0.788
Se2 Se 0.305 0.093 0.397
Se3 Se 0.695 0.907 0.603
Se4 Se 0.907 0.305 0.212
```

Output
Magnetization   0.000 μB per atom
Offset from the most stable computed form   0.00 eV/f.u.
Uncorrected energy   -62.14 eV/cell
Volume   261.7 Å³/cell
Raw formation energy   -1508 meV/atom



Record 10
Density functional theory data (PBE) for Pr4CSe3 after structural relaxation.

The structure in CIF format:
```
data_Pr4CSe3
_chemical_formula_sum 'Pr8 C2 Se6'
_cell_length_a 7.329
_cell_length_b 8.415
_cell_length_c 7.099
_cell_angle_alpha 90.00
_cell_angle_beta 109.35
_cell_angle_gamma 90.00
_space_group_name_H-M_alt 'P 1'
_space_group_IT_number 1
loop_
_space_group_symop_operation_xyz
'x,y,z'
loop_
_atom_site_label
_atom_site_type_symbol
_atom_site_fract_x
_atom_site_fract_y
_atom_site_fract_z
Pr1 Pr 0.214 0.107 0.000
Pr2 Pr 0.214 0.893 0.500
Pr3 Pr 0.228 0.343 0.473
Pr4 Pr 0.228 0.657 0.973
Pr5 Pr 0.772 0.343 0.027
Pr6 Pr 0.772 0.657 0.527
Pr7 Pr 0.786 0.107 0.500
Pr8 Pr 0.786 0.893 0.000
C1 C 0.000 0.128 0.250
C2 C 0.000 0.872 0.750
Se1 Se 0.000 0.379 0.750
Se2 Se 0.000 0.621 0.250
Se3 Se 0.500 0.123 0.750
Se4 Se 0.500 0.376 0.250
Se5 Se 0.500 0.624 0.750
Se6 Se 0.500 0.877 0.250
```

Output
Magnetization   0.000 μB per atom
Offset from the most stable computed form   0.00 eV/f.u.
Uncorrected energy   -100.73 eV/cell
Volume   413.0 Å³/cell
Raw formation energy   -1446 meV/atom